Density functional theory data (GGA+U) for a relaxed KLaHfCrO6 crystal.

Computed properties:
Raw total energy (eV for the cell shown): -317.49
Fermi-level density of states (states/eV per cell): 18.6

a = 7.9961 Å, b = 7.9961 Å, c = 7.9961 Å
α = 90.00°, β = 90.00°, γ = 90.00°
Space group F-43m (No. 216)
Inequivalent atoms, fractional coordinates:
K: 0.0000 0.0000 0.0000 x4
La: 0.0000 0.0000 0.5000 x4
Hf: 0.2500 0.2500 0.7500 x4
Cr: 0.2500 0.2500 0.2500 x4
O: 0.0071 0.2500 0.2500 x24